Record 1
IrOs2Rh: single point on PBEsol structure, SCAN.

Cell: 2.681 2.681 7.701 Å, 90.00 90.00 90.00°
Sites, in units of the cell vectors:
Ir (0.000, 0.000, 0.000)
Os (0.500, 0.500, 0.250)
Os (0.500, 0.500, 0.750)
Rh (0.000, 0.000, 0.500)

E_tot in eV for the cell shown: -248.285
Spin magnetization in μB/cell: 0.000
DOS(E_F) in states/eV/f.u.: 3.21

***

Record 2
IrOsRh2: single point on PBEsol structure, SCAN.

Cell: 4.669 4.669 2.676 Å, 90.00 90.00 109.91°
Sites, in units of the cell vectors:
Ir (0.000, 0.000, 0.000)
Os (0.500, 0.500, 0.000)
Rh (0.000, 0.500, 0.500)
Rh (0.500, 0.000, 0.500)

E_tot in eV for the cell shown: -210.304
Spin magnetization in μB/cell: 0.000
DOS(E_F) in states/eV/f.u.: 3.86

***

Record 3
IrOs2Rh: single point on PBEsol structure, SCAN.

Cell: 8.947 8.947 8.947 Å, 17.34 17.34 17.34°
Sites, in units of the cell vectors:
Ir (0.000, 0.000, 0.000)
Os (0.250, 0.250, 0.250)
Os (0.501, 0.501, 0.501)
Rh (0.752, 0.752, 0.752)

E_tot in eV for the cell shown: -248.454
Spin magnetization in μB/cell: 0.000
DOS(E_F) in states/eV/f.u.: 3.17

***

Record 4
IrOsRh2: single point on PBEsol structure, SCAN.

Cell: 2.677 3.822 5.361 Å, 90.00 90.00 90.00°
Sites, in units of the cell vectors:
Ir (0.000, 0.000, 0.000)
Os (0.000, 0.000, 0.500)
Rh (0.500, 0.500, 0.253)
Rh (0.500, 0.500, 0.747)

E_tot in eV for the cell shown: -210.342
Spin magnetization in μB/cell: 0.000
DOS(E_F) in states/eV/f.u.: 3.96

***

Record 5
IrOsRh2: single point on PBEsol structure, SCAN.

Cell: 8.919 8.919 8.919 Å, 17.34 17.34 17.34°
Sites, in units of the cell vectors:
Ir (0.000, 0.000, 0.000)
Os (0.251, 0.251, 0.251)
Rh (0.502, 0.502, 0.502)
Rh (0.751, 0.751, 0.751)

E_tot in eV for the cell shown: -210.479
Spin magnetization in μB/cell: 0.000
DOS(E_F) in states/eV/f.u.: 3.73

***

Record 6
IrOsRh2: single point on PBEsol structure, SCAN.

Cell: 8.945 8.945 8.945 Å, 17.25 17.25 17.25°
Sites, in units of the cell vectors:
Ir (0.000, 0.000, 0.000)
Os (0.500, 0.500, 0.500)
Rh (0.249, 0.249, 0.249)
Rh (0.751, 0.751, 0.751)

E_tot in eV for the cell shown: -210.449
Spin magnetization in μB/cell: 0.000
DOS(E_F) in states/eV/f.u.: 3.69

***

Record 7
Ir2OsRh: single point on PBEsol structure, SCAN.

Cell: 2.694 2.694 7.665 Å, 90.00 90.00 90.00°
Sites, in units of the cell vectors:
Ir (0.000, 0.000, 0.000)
Ir (0.500, 0.500, 0.253)
Os (0.000, 0.000, 0.500)
Rh (0.500, 0.500, 0.747)

E_tot in eV for the cell shown: -247.747
Spin magnetization in μB/cell: 0.000
DOS(E_F) in states/eV/f.u.: 3.78

***

Record 8
IrOs2Ru: single point on PBEsol structure, SCAN.

Cell: 4.670 4.670 4.670 Å, 131.92 131.92 70.36°
Sites, in units of the cell vectors:
Ir (0.000, 0.000, 0.000)
Os (0.250, 0.750, 0.500)
Os (0.750, 0.250, 0.500)
Ru (0.500, 0.500, 0.000)

E_tot in eV for the cell shown: -249.470
Spin magnetization in μB/cell: 0.000
DOS(E_F) in states/eV/f.u.: 3.18

***

Record 9
IrOsRu: single point on PBEsol structure, SCAN.

Cell: 4.661 4.661 4.661 Å, 146.49 131.81 59.97°
Sites, in units of the cell vectors:
Ir (0.000, 0.000, 0.000)
Os (0.668, 0.668, 0.000)
Ru (0.331, 0.331, 0.000)

E_tot in eV for the cell shown: -177.755
Spin magnetization in μB/cell: 0.000
DOS(E_F) in states/eV/f.u.: 2.46

***

Record 10
IrOs2Ru: single point on PBEsol structure, SCAN.

Cell: 4.664 4.664 4.670 Å, 99.58 99.58 33.54°
Sites, in units of the cell vectors:
Ir (0.000, 0.000, 0.000)
Os (0.249, 0.249, 0.746)
Os (0.751, 0.751, 0.254)
Ru (0.500, 0.500, 0.500)

E_tot in eV for the cell shown: -249.470
Spin magnetization in μB/cell: 0.000
DOS(E_F) in states/eV/f.u.: 3.05

***

Record 11
IrOs2Ru: single point on PBEsol structure, SCAN.

Cell: 2.692 2.692 7.640 Å, 90.00 90.00 90.00°
Sites, in units of the cell vectors:
Ir (0.000, 0.000, 0.000)
Os (0.000, 0.000, 0.502)
Os (0.500, 0.500, 0.252)
Ru (0.500, 0.500, 0.749)

E_tot in eV for the cell shown: -249.460
Spin magnetization in μB/cell: 0.000
DOS(E_F) in states/eV/f.u.: 2.83

***

Record 12
IrOsRu: single point on PBEsol structure, SCAN.

Cell: 6.022 6.022 6.022 Å, 154.15 154.15 36.88°
Sites, in units of the cell vectors:
Ir (0.000, 0.000, 0.000)
Os (0.668, 0.668, 0.000)
Ru (0.330, 0.330, 0.000)

E_tot in eV for the cell shown: -177.742
Spin magnetization in μB/cell: 0.000
DOS(E_F) in states/eV/f.u.: 2.42

***

Number 1: DFT formation energy 0.09 eV per atom, V 55.3 Å³/cell, energy above the lowest structure with this stoichiometry 43 meV/atom. Number 2: DFT formation energy 0.05 eV per atom, V 54.8 Å³/cell, energy above the lowest structure with this stoichiometry 55 meV/atom. Number 3: DFT formation energy 0.04 eV per atom, V 55.5 Å³/cell, energy above the lowest structure with this stoichiometry 1 meV/atom. Number 4: DFT formation energy 0.04 eV per atom, V 54.8 Å³/cell, energy above the lowest structure with this stoichiometry 45 meV/atom. Number 5: DFT formation energy 0.01 eV per atom, V 55.0 Å³/cell, energy above the lowest structure with this stoichiometry 11 meV/atom. Number 6: DFT formation energy 0.02 eV per atom, V 54.9 Å³/cell, energy above the lowest structure with this stoichiometry 18 meV/atom. Number 7: DFT formation energy 0.03 eV per atom, V 55.6 Å³/cell, energy above the lowest structure with this stoichiometry 41 meV/atom. Number 8: DFT formation energy 0.05 eV per atom, V 55.3 Å³/cell, energy above the lowest structure with this stoichiometry 1 meV/atom. Number 9: DFT formation energy 0.02 eV per atom, V 41.3 Å³/cell, energy above the lowest structure with this stoichiometry 0 meV/atom. Number 10: DFT formation energy 0.05 eV per atom, V 55.3 Å³/cell, energy above the lowest structure with this stoichiometry 1 meV/atom. Number 11: DFT formation energy 0.06 eV per atom, V 55.4 Å³/cell, energy above the lowest structure with this stoichiometry 4 meV/atom. Number 12: DFT formation energy 0.02 eV per atom, V 41.4 Å³/cell, energy above the lowest structure with this stoichiometry 4 meV/atom.